Compound: LaCePuCd
Source: Alexandria
Functional: GGA-PBE
Structure: optimized geometry

Output
Formation energy in meV/atom: 62.7
E_tot in eV for the cell shown: -25.9
Spin magnetization in μB/f.u.: 8.31
Symmetry: No. 216

Unit cell a=5.3930 b=5.3930 c=5.3930 alpha=60.00 beta=60.00 gamma=60.00
Last column: magnetic moment on the atom in μB.
Fractional positions:
Cd 0.7500 0.7500 0.7500  -0.01
La 0.5000 0.5000 0.5000  0.27
Ce 0.2500 0.2500 0.2500  1.23
Pu 0.0000 0.0000 0.0000  5.65